VASP calculation (PBEsol) on a geometry-optimized CsLiBr2 structure.

```
8
Lattice="5.1074 0.0000 0.0000 0.0000 5.1074 0.0000 0.0000 0.0000 9.8199" Properties=species:S:1:pos:R:3 pbc="T T T"
Cs 1.2768 1.2768 1.9671
Cs 3.8305 3.8305 7.8528
Li 1.2768 1.2768 5.7326
Li 3.8305 3.8305 4.0873
Br 1.2768 1.2768 8.2091
Br 1.2768 3.8305 4.9099
Br 3.8305 1.2768 4.9099
Br 3.8305 3.8305 1.6108
```

Output
E_form (uncorrected) = -1.67 eV/atom
DOS at the Fermi energy = 0.0000 states/eV per atom
Space group = P4/nmm



VASP calculation (PBEsol) on a geometry-optimized RbZn2Au structure.

```
4
Lattice="0.0000 3.5447 3.5447 3.5447 0.0000 3.5447 3.5447 3.5447 0.0000" Properties=species:S:1:pos:R:3 pbc="T T T"
Rb 0.0000 0.0000 0.0000
Zn 1.7724 1.7724 1.7724
Zn 5.3171 5.3171 5.3171
Au 3.5447 3.5447 3.5447
```

Output
Final energy = -7.01 eV/f.u.
DOS at the Fermi energy = 0.2506 states/eV per atom
Space group = Fm-3m



VASP calculation (PBEsol) on a geometry-optimized Li2TeRh structure.

```
4
Lattice="3.1714 0.0000 0.0000 0.0000 3.7700 0.0000 0.0000 0.0000 5.5402" Properties=species:S:1:pos:R:3 pbc="T T T"
Li 0.0000 0.0000 0.0000
Li 1.5857 1.8850 1.3241
Te 1.5857 1.8850 3.9358
Rh 0.0000 0.0000 2.7965
```

Output
E_form (uncorrected) = -0.30 eV/atom
DOS at the Fermi energy = 0.5681 states/eV per atom
Space group = Pmm2



VASP calculation (PBEsol) on a geometry-optimized Sr2BCl structure.

```
4
Lattice="0.0000 3.6224 3.6224 3.6224 0.0000 3.6224 3.6224 3.6224 0.0000" Properties=species:S:1:pos:R:3 pbc="T T T"
Sr 1.8112 1.8112 1.8112
Sr 5.4335 5.4335 5.4335
B 0.0000 0.0000 0.0000
Cl 3.6224 3.6224 3.6224
```

Output
E_form (uncorrected) = -0.26 eV/atom
DOS at the Fermi energy = 0.5582 states/eV per atom
Space group = Fm-3m



VASP calculation (PBEsol) on a geometry-optimized CaSiAg structure.

```
3
Lattice="4.4473 0.0000 0.0000 -2.2237 3.8515 0.0000 0.0000 0.0000 3.5515" Properties=species:S:1:pos:R:3 pbc="T T T"
Ca 0.0000 0.0000 0.0000
Si 2.2237 1.2838 1.7758
Ag 0.0000 2.5677 1.7758
```

Output
E_form (uncorrected) = -0.40 eV/atom
DOS at the Fermi energy = 0.3220 states/eV per atom
Space group = P-6m2



VASP calculation (PBEsol) on a geometry-optimized NdAu3 structure.

```
8
Lattice="6.3128 0.0000 0.0000 -3.1564 5.4671 0.0000 0.0000 0.0000 4.7730" Properties=species:S:1:pos:R:3 pbc="T T T"
Nd 0.0000 3.6447 1.1933
Nd 3.1564 1.8224 3.5798
Au 0.0000 1.6918 3.5798
Au -1.6913 4.6212 3.5798
Au 1.4651 0.8459 1.1933
Au 1.6913 4.6212 3.5798
Au 4.8477 0.8459 1.1933
Au 3.1564 3.7753 1.1933
```

Output
Final energy = -19.47 eV/f.u.
DOS at the Fermi energy = 0.4384 states/eV per atom
Space group = P6_3/mmc



VASP calculation (PBEsol) on a geometry-optimized FeRh2W structure.

```
4
Lattice="1.3508 0.7799 8.6346 -1.3508 0.7799 8.6346 0.0000 -1.5597 8.6346" Properties=species:S:1:pos:R:3 pbc="T T T"
Fe 0.0000 0.0000 0.0000
Rh 0.0000 0.0000 6.5363
Rh 0.0000 0.0000 19.3675
W 0.0000 0.0000 12.9519
```

Output
Polymorph energy (0 for the lowest one) = 170 meV per atom
DOS at the Fermi energy = 0.8674 states/eV per atom
Space group = R-3m



VASP calculation (PBEsol) on a geometry-optimized MnAu2Se structure.

```
4
Lattice="2.9488 0.0000 0.0000 0.0000 1.4736 7.6864 0.0000 -1.4736 7.6864" Properties=species:S:1:pos:R:3 pbc="T T T"
Mn 0.0000 0.0000 0.0000
Au 0.0000 0.0000 11.5582
Au 1.4744 0.0000 5.8478
Se 1.4744 0.0000 8.9867
```

Output
E_form (uncorrected) = 0.06 eV/atom
DOS at the Fermi energy = 0.6005 states/eV per atom
Space group = Amm2



VASP calculation (PBEsol) on a geometry-optimized AgSe3 structure.

```
4
Lattice="2.7611 0.0000 0.0000 0.0000 3.8793 0.0000 0.0000 0.0000 7.7538" Properties=species:S:1:pos:R:3 pbc="T T T"
Ag 0.0000 0.0000 0.0000
Se 0.0000 0.0000 3.8769
Se 0.0000 1.9396 1.7844
Se 0.0000 1.9396 5.9693
```

Output
E_form (uncorrected) = 0.07 eV/atom
DOS at the Fermi energy = 0.3745 states/eV per atom
Space group = Pmmm



VASP calculation (PBEsol) on a geometry-optimized TaAgPb2 structure.

```
4
Lattice="-2.0760 2.0760 4.8975 2.0760 -2.0760 4.8975 2.0760 2.0760 -4.8975" Properties=species:S:1:pos:R:3 pbc="T T T"
Ta 0.0000 0.0000 0.0000
Ag 0.0000 2.0760 2.4488
Pb 2.0760 0.0000 2.4488
Pb 0.0000 0.0000 4.8975
```

Output
Final energy = -21.74 eV/f.u.
DOS at the Fermi energy = 0.5844 states/eV per atom
Space group = I-4m2



VASP calculation (PBEsol) on a geometry-optimized HfTe3C structure.

```
5
Lattice="5.4488 0.0000 0.0000 0.0000 5.4488 0.0000 0.0000 0.0000 5.4488" Properties=species:S:1:pos:R:3 pbc="T T T"
Hf 0.0000 0.0000 0.0000
Te 0.0000 0.0000 2.7244
Te 0.0000 2.7244 0.0000
Te 2.7244 0.0000 0.0000
C 2.7244 2.7244 2.7244
```

Output
E_form (uncorrected) = 1.36 eV/atom
DOS at the Fermi energy = 1.1538 states/eV per atom
Space group = Pm-3m



VASP calculation (PBEsol) on a geometry-optimized K2TaMo structure.

```
4
Lattice="-1.5793 3.2476 5.9797 1.5793 -3.2476 5.9797 1.5793 3.2476 -5.9797" Properties=species:S:1:pos:R:3 pbc="T T T"
K 0.0000 0.0000 0.0000
K 0.0000 3.2476 2.4737
Ta 0.0000 0.0000 4.9960
Mo 1.5793 0.0000 3.2431
```

Output
Polymorph energy (0 for the lowest one) = 0 meV per atom
DOS at the Fermi energy = 0.3898 states/eV per atom
Space group = Imm2



VASP calculation (PBEsol) on a geometry-optimized MgTiSi4O10 structure.

```
64
Lattice="7.2649 0.0000 0.0000 0.0000 7.2649 0.0000 0.0000 0.0000 14.8888" Properties=species:S:1:pos:R:3 pbc="T T T"
Mg 1.8162 5.4487 0.0000
Mg 1.8162 5.4487 7.4444
Mg 5.4487 1.8162 0.0000
Mg 5.4487 1.8162 7.4444
Ti 1.8162 1.8162 1.0276
Ti 1.8162 1.8162 8.4720
Ti 5.4487 5.4487 6.4168
Ti 5.4487 5.4487 13.8612
Si 0.0815 4.2900 2.1633
Si 0.0815 6.6073 9.6077
Si 0.6576 3.7140 5.2811
Si 0.6576 7.1834 12.7255
Si 2.9749 3.7140 12.7255
Si 2.9749 7.1834 5.2811
Si 3.5509 4.2900 9.6077
Si 3.5509 6.6073 2.1633
Si 3.7140 0.6576 12.7255
Si 3.7140 2.9749 5.2811
Si 4.2900 0.0815 9.6077
Si 4.2900 3.5509 2.1633
Si 6.6073 0.0815 2.1633
Si 6.6073 3.5509 9.6077
Si 7.1834 0.6576 5.2811
Si 7.1834 2.9749 12.7255
O 0.0093 5.0039 9.3080
O 0.0093 5.8934 1.8636
O 0.1401 4.8244 6.3386
O 0.1401 6.0729 13.7830
O 0.4497 4.0821 3.7222
O 0.4497 6.8152 11.1666
O 1.1920 3.7725 1.1058
O 1.1920 7.1248 8.5502
O 1.3715 3.6417 13.0252
O 1.3715 7.2556 5.5808
O 2.2610 3.6417 5.5808
O 2.2610 7.2556 13.0252
O 2.4405 3.7725 8.5502
O 2.4405 7.1248 1.1058
O 3.1828 4.0821 11.1666
O 3.1828 6.8152 3.7222
O 3.4924 4.8244 13.7830
O 3.4924 6.0729 6.3386
O 3.6232 5.0039 1.8636
O 3.6232 5.8934 9.3080
O 3.6417 1.3715 5.5808
O 3.6417 2.2610 13.0252
O 3.7725 1.1920 8.5502
O 3.7725 2.4405 1.1058
O 4.0821 0.4497 11.1666
O 4.0821 3.1828 3.7222
O 4.8244 0.1401 13.7830
O 4.8244 3.4924 6.3386
O 5.0039 0.0093 1.8636
O 5.0039 3.6232 9.3080
O 5.8934 0.0093 9.3080
O 5.8934 3.6232 1.8636
O 6.0729 0.1401 6.3386
O 6.0729 3.4924 13.7830
O 6.8152 0.4497 3.7222
O 6.8152 3.1828 11.1666
O 7.1248 1.1920 1.1058
O 7.1248 2.4405 8.5502
O 7.2556 1.3715 13.0252
O 7.2556 2.2610 5.5808
```

Output
E_form (uncorrected) = -2.64 eV/atom
DOS at the Fermi energy = 0.3964 states/eV per atom
Space group = P4/ncc



VASP calculation (PBEsol) on a geometry-optimized Ba2CrSi structure.

```
4
Lattice="-2.8259 2.8259 3.9779 2.8259 -2.8259 3.9779 2.8259 2.8259 -3.9779" Properties=species:S:1:pos:R:3 pbc="T T T"
Ba 2.8259 0.0000 1.9889
Ba 0.0000 2.8259 1.9889
Cr 0.0000 0.0000 0.0000
Si 0.0000 0.0000 3.9779
```

Output
Polymorph energy (0 for the lowest one) = 0 meV per atom
E_form (uncorrected) = 0.40 eV/atom
DOS at the Fermi energy = 0.7111 states/eV per atom
Space group = I4/mmm



VASP calculation (PBEsol) on a geometry-optimized RbCd2SnBi structure.

```
5
Lattice="5.6845 0.0000 0.0000 0.0000 5.6845 0.0000 0.0000 0.0000 6.7992" Properties=species:S:1:pos:R:3 pbc="T T T"
Rb 0.0000 0.0000 0.0000
Cd 0.0000 2.8422 3.3996
Cd 2.8422 0.0000 3.3996
Sn 2.8422 2.8422 0.0000
Bi 0.0000 0.0000 3.3996
```

Output
Final energy = -9.25 eV/f.u.
DOS at the Fermi energy = 0.8835 states/eV per atom
Space group = P4/mmm



VASP calculation (PBEsol) on a geometry-optimized SiTeBr2 structure.

```
4
Lattice="4.0530 0.0000 0.0000 0.0000 4.0530 0.0000 0.0000 0.0000 7.5056" Properties=species:S:1:pos:R:3 pbc="T T T"
Si 0.0000 0.0000 0.0000
Te 2.0265 2.0265 0.0001
Br 0.0000 0.0000 2.3058
Br 2.0265 2.0265 4.9903
```

Output
Polymorph energy (0 for the lowest one) = 0 meV per atom
E_form (uncorrected) = -0.13 eV/atom
DOS at the Fermi energy = 0.0007 states/eV per atom
Space group = P4mm



VASP calculation (PBEsol) on a geometry-optimized TaOs2PtS structure.

```
5
Lattice="4.7317 0.0000 0.0000 0.0000 4.7317 0.0000 0.0000 0.0000 4.7968" Properties=species:S:1:pos:R:3 pbc="T T T"
Ta 0.0000 0.0000 0.0000
Os 0.0000 2.3658 0.0000
Os 2.3658 0.0000 0.0000
Pt 0.0000 0.0000 2.3984
S 2.3658 2.3658 2.3984
```

Output
E_form (uncorrected) = 2.33 eV/atom
DOS at the Fermi energy = 1.1274 states/eV per atom
Space group = P4/mmm



VASP calculation (PBEsol) on a geometry-optimized Zr6FeSn2 structure.

```
9
Lattice="7.9026 0.0000 0.0000 -3.9513 6.8439 0.0000 0.0000 0.0000 3.4329" Properties=species:S:1:pos:R:3 pbc="T T T"
Zr -1.5540 2.6916 0.0000
Zr -2.9993 5.1949 1.7164
Zr 0.9521 1.6490 1.7164
Zr 3.1080 0.0000 0.0000
Zr 2.3973 4.1523 0.0000
Zr 5.9985 0.0000 1.7164
Fe 0.0000 0.0000 0.0000
Sn 0.0000 4.5626 1.7164
Sn 3.9513 2.2813 1.7164
```

Output
Final energy = -75.98 eV/f.u.
DOS at the Fermi energy = 1.2335 states/eV per atom
Space group = P-62m



VASP calculation (PBEsol) on a geometry-optimized Ca2SiIr structure.

```
4
Lattice="4.1035 0.0000 0.0000 0.0000 2.2257 5.1329 0.0000 -2.2257 5.1329" Properties=species:S:1:pos:R:3 pbc="T T T"
Ca 0.0000 0.0000 0.0000
Ca 2.0517 0.0000 2.9762
Si 2.0517 0.0000 6.1020
Ir 0.0000 0.0000 7.1611
```

Output
E_form (uncorrected) = -0.55 eV/atom
DOS at the Fermi energy = 0.5171 states/eV per atom
Space group = Amm2



VASP calculation (PBEsol) on a geometry-optimized KBaOF2 structure.

```
5
Lattice="5.0323 0.0000 0.0000 0.0000 5.0323 0.0000 0.0000 0.0000 4.5423" Properties=species:S:1:pos:R:3 pbc="T T T"
K 0.0000 0.0000 0.0000
Ba 2.5162 2.5162 2.2711
O 2.5162 2.5162 0.0000
F 0.0000 2.5162 2.2711
F 2.5162 0.0000 2.2711
```

Output
E_form (uncorrected) = -2.36 eV/atom
DOS at the Fermi energy = 0.5666 states/eV per atom
Space group = P4/mmm



VASP calculation (PBEsol) on a geometry-optimized Zr2CdP structure.

```
4
Lattice="3.4535 0.0000 0.0000 0.0000 3.4535 0.0000 0.0000 0.0000 7.0807" Properties=species:S:1:pos:R:3 pbc="T T T"
Zr 0.0000 0.0000 0.0000
Zr 1.7267 1.7267 1.9730
Cd 0.0000 0.0000 3.9238
P 1.7267 1.7267 6.2675
```

Output
Polymorph energy (0 for the lowest one) = 394 meV per atom
DOS at the Fermi energy = 0.7529 states/eV per atom
Space group = P4mm



VASP calculation (PBEsol) on a geometry-optimized LiCoCO4 structure.

```
28
Lattice="9.0708 0.0000 0.0000 0.0000 2.8887 0.0000 0.0000 0.0000 9.0002" Properties=species:S:1:pos:R:3 pbc="T T T"
Li 0.9243 0.7222 1.6785
Li 3.6111 2.1665 6.1786
Li 5.4597 0.7222 2.8216
Li 8.1465 2.1665 7.3217
Co 1.0776 0.7222 5.0018
Co 3.4578 2.1665 0.5017
Co 5.6130 0.7222 8.4984
Co 7.9932 2.1665 3.9983
C 1.5144 0.7222 7.7762
C 3.0210 2.1665 3.2761
C 6.0499 0.7222 5.7241
C 7.5564 2.1665 1.2240
O 0.0119 0.7222 3.5045
O 0.2765 0.7222 7.8600
O 2.1617 0.7222 6.6503
O 2.2260 0.7222 8.9219
O 2.3094 2.1665 4.4218
O 2.3737 2.1665 2.1502
O 4.2589 2.1665 3.3599
O 4.5236 2.1665 8.0045
O 4.5473 0.7222 0.9956
O 4.8120 0.7222 5.6402
O 6.6971 0.7222 6.8500
O 6.7614 0.7222 4.5784
O 6.8448 2.1665 0.0783
O 6.9092 2.1665 2.3499
O 8.7943 2.1665 1.1402
O 9.0590 2.1665 5.4957
```

Output
E_form (uncorrected) = -1.45 eV/atom
Space group = Pnma



VASP calculation (PBEsol) on a geometry-optimized Ta2BeZn structure.

```
4
Lattice="2.7779 0.0000 0.0000 0.0000 3.7280 0.0000 -0.0695 0.0000 5.5810" Properties=species:S:1:pos:R:3 pbc="T T T"
Ta -0.0054 0.0000 1.4413
Ta 2.7138 0.0000 4.1396
Be 1.3542 1.8640 2.7905
Zn 1.3890 1.8640 0.0000
```

Output
Polymorph energy (0 for the lowest one) = 0 meV per atom
DOS at the Fermi energy = 0.4377 states/eV per atom
Space group = P2/m



VASP calculation (PBEsol) on a geometry-optimized Co3HS structure.

```
5
Lattice="4.0446 0.0000 0.0000 0.0000 4.0446 0.0000 0.0000 0.0000 4.0446" Properties=species:S:1:pos:R:3 pbc="T T T"
Co 0.0000 0.0000 2.0223
Co 0.0000 2.0223 0.0000
Co 2.0223 0.0000 0.0000
H 2.0223 2.0223 2.0223
S 0.0000 0.0000 0.0000
```

Output
Final energy = -26.52 eV/f.u.
DOS at the Fermi energy = 1.6885 states/eV per atom
Space group = Pm-3m